# 1
Density functional theory data (GGA-PBE) for a geometry-optimized SnSbPd4 structure.

Values from the calculation:
Mass density   10.2 g cm⁻³
Excess energy over the best structure of this formula in the dataset   0.044 eV/atom

Cell lengths 4.708, 4.724, 5.630 Å; angles 89.27, 89.85, 60.16 degrees
Element x y z (fractional)
Sn (0.000, 0.000, 0.000)
Sb (0.500, 0.000, 0.500)
Pd (0.173, 0.653, 0.589)
Pd (0.329, 0.341, 0.091)
Pd (0.671, 0.659, 0.909)
Pd (0.827, 0.347, 0.411)

# 2
Density functional theory data (GGA-PBE) for a geometry-optimized SnSb2Pd6 structure.

Values from the calculation:
Mass density   10.5 g cm⁻³

Cell lengths 7.499, 7.499, 3.255 Å; angles 90.00, 90.00, 120.00 degrees
Element x y z (fractional)
Sn (0.000, 0.000, 0.000)
Sb (0.333, 0.667, 0.500)
Sb (0.667, 0.333, 0.500)
Pd (0.000, 0.295, 0.500)
Pd (0.000, 0.629, 0.000)
Pd (0.295, 0.000, 0.500)
Pd (0.371, 0.371, 0.000)
Pd (0.629, 0.000, 0.000)
Pd (0.705, 0.705, 0.500)

# 3
Density functional theory data (GGA-PBE) for a geometry-optimized Sn2SbPd9 structure.

Values from the calculation:
Mass density   11.0 g cm⁻³

Cell lengths 4.046, 4.046, 12.114 Å; angles 90.00, 90.00, 90.00 degrees
Element x y z (fractional)
Sn (0.000, 0.000, 0.165)
Sn (0.000, 0.000, 0.835)
Sb (0.000, 0.000, 0.500)
Pd (0.000, 0.500, 0.000)
Pd (0.000, 0.500, 0.333)
Pd (0.000, 0.500, 0.667)
Pd (0.500, 0.000, 0.000)
Pd (0.500, 0.000, 0.333)
Pd (0.500, 0.000, 0.667)
Pd (0.500, 0.500, 0.167)
Pd (0.500, 0.500, 0.500)
Pd (0.500, 0.500, 0.833)

# 4
Density functional theory data (GGA-PBE) for a geometry-optimized Sn5Sb3Pd12 structure.

Values from the calculation:
Mass density   8.0 g cm⁻³

Cell lengths 13.386, 13.386, 13.386 Å; angles 109.47, 109.47, 109.47 degrees
Element x y z (fractional)
Sn (0.000, 0.000, 0.000)
Sn (0.000, 0.000, 0.500)
Sn (0.000, 0.500, 0.000)
Sn (0.000, 0.500, 0.500)
Sn (0.125, 0.750, 0.875)
Sn (0.125, 0.875, 0.250)
Sn (0.250, 0.125, 0.875)
Sn (0.250, 0.625, 0.375)
Sn (0.375, 0.250, 0.625)
Sn (0.375, 0.625, 0.750)
Sn (0.500, 0.000, 0.000)
Sn (0.500, 0.000, 0.500)
Sn (0.500, 0.500, 0.000)
Sn (0.500, 0.500, 0.500)
Sn (0.625, 0.375, 0.250)
Sn (0.625, 0.750, 0.375)
Sn (0.750, 0.375, 0.625)
Sn (0.750, 0.875, 0.125)
Sn (0.875, 0.125, 0.750)
Sn (0.875, 0.250, 0.125)
Sb (0.125, 0.250, 0.375)
Sb (0.125, 0.375, 0.750)
Sb (0.250, 0.375, 0.125)
Sb (0.250, 0.875, 0.625)
Sb (0.375, 0.125, 0.250)
Sb (0.375, 0.750, 0.125)
Sb (0.625, 0.250, 0.875)
Sb (0.625, 0.875, 0.750)
Sb (0.750, 0.125, 0.375)
Sb (0.750, 0.625, 0.875)
Sb (0.875, 0.625, 0.250)
Sb (0.875, 0.750, 0.625)
Pd (0.069, 0.228, 0.143)
Pd (0.069, 0.340, 0.925)
Pd (0.075, 0.643, 0.415)
Pd (0.075, 0.931, 0.660)
Pd (0.085, 0.728, 0.660)
Pd (0.085, 0.857, 0.425)
Pd (0.143, 0.069, 0.228)
Pd (0.143, 0.575, 0.915)
Pd (0.160, 0.228, 0.585)
Pd (0.160, 0.431, 0.575)
Pd (0.228, 0.143, 0.069)
Pd (0.228, 0.585, 0.160)
Pd (0.272, 0.340, 0.915)
Pd (0.272, 0.431, 0.357)
Pd (0.340, 0.915, 0.272)
Pd (0.340, 0.925, 0.069)
Pd (0.357, 0.272, 0.431)
Pd (0.357, 0.585, 0.925)
Pd (0.415, 0.075, 0.643)
Pd (0.415, 0.840, 0.772)
Pd (0.425, 0.085, 0.857)
Pd (0.425, 0.840, 0.569)
Pd (0.431, 0.357, 0.272)
Pd (0.431, 0.575, 0.160)
Pd (0.569, 0.425, 0.840)
Pd (0.569, 0.643, 0.728)
Pd (0.575, 0.160, 0.431)
Pd (0.575, 0.915, 0.143)
Pd (0.585, 0.160, 0.228)
Pd (0.585, 0.925, 0.357)
Pd (0.643, 0.415, 0.075)
Pd (0.643, 0.728, 0.569)
Pd (0.660, 0.075, 0.931)
Pd (0.660, 0.085, 0.728)
Pd (0.728, 0.569, 0.643)
Pd (0.728, 0.660, 0.085)
Pd (0.772, 0.415, 0.840)
Pd (0.772, 0.857, 0.931)
Pd (0.840, 0.569, 0.425)
Pd (0.840, 0.772, 0.415)
Pd (0.857, 0.425, 0.085)
Pd (0.857, 0.931, 0.772)
Pd (0.915, 0.143, 0.575)
Pd (0.915, 0.272, 0.340)
Pd (0.925, 0.069, 0.340)
Pd (0.925, 0.357, 0.585)
Pd (0.931, 0.660, 0.075)
Pd (0.931, 0.772, 0.857)

# 5
Density functional theory data (GGA-PBE) for a geometry-optimized Sn3Sb2Pd7 structure.

Values from the calculation:
Mass density   9.5 g cm⁻³

Cell lengths 10.267, 10.267, 4.823 Å; angles 90.00, 90.00, 152.33 degrees
Element x y z (fractional)
Sn (0.000, 0.000, 0.000)
Sn (0.163, 0.837, 0.000)
Sn (0.837, 0.163, 0.000)
Sb (0.355, 0.645, 0.500)
Sb (0.645, 0.355, 0.500)
Pd (0.073, 0.927, 0.500)
Pd (0.219, 0.781, 0.500)
Pd (0.423, 0.577, 0.000)
Pd (0.500, 0.500, 0.500)
Pd (0.577, 0.423, 0.000)
Pd (0.781, 0.219, 0.500)
Pd (0.927, 0.073, 0.500)

# 6
Density functional theory data (GGA-PBE) for a geometry-optimized Sn3SbPd12 structure.

Values from the calculation:
Mass density   11.0 g cm⁻³

Cell lengths 4.044, 4.044, 16.154 Å; angles 90.00, 90.00, 90.00 degrees
Element x y z (fractional)
Sn (0.000, 0.000, 0.000)
Sn (0.000, 0.000, 0.248)
Sn (0.000, 0.000, 0.752)
Sb (0.000, 0.000, 0.500)
Pd (0.000, 0.500, 0.125)
Pd (0.000, 0.500, 0.375)
Pd (0.000, 0.500, 0.625)
Pd (0.000, 0.500, 0.875)
Pd (0.500, 0.000, 0.125)
Pd (0.500, 0.000, 0.375)
Pd (0.500, 0.000, 0.625)
Pd (0.500, 0.000, 0.875)
Pd (0.500, 0.500, 0.000)
Pd (0.500, 0.500, 0.251)
Pd (0.500, 0.500, 0.500)
Pd (0.500, 0.500, 0.749)

# 7
Density functional theory data (GGA-PBE) for a geometry-optimized Sn2Sb2Pd7 structure.

Values from the calculation:
Mass density   10.1 g cm⁻³

Cell lengths 6.465, 6.465, 5.386 Å; angles 105.36, 105.36, 99.63 degrees
Element x y z (fractional)
Sn (0.146, 0.146, 0.396)
Sn (0.854, 0.854, 0.604)
Sb (0.332, 0.668, 0.000)
Sb (0.668, 0.332, 0.000)
Pd (0.078, 0.569, 0.307)
Pd (0.211, 0.211, 0.945)
Pd (0.431, 0.922, 0.693)
Pd (0.500, 0.500, 0.500)
Pd (0.569, 0.078, 0.307)
Pd (0.789, 0.789, 0.055)
Pd (0.922, 0.431, 0.693)

# 8
Density functional theory data (GGA-PBE) for a geometry-optimized Sn2Sb5Pd12 structure.

Values from the calculation:
Mass density   9.3 g cm⁻³

Cell lengths 7.519, 7.519, 8.092 Å; angles 102.03, 102.03, 58.64 degrees
Element x y z (fractional)
Sn (0.234, 0.766, 0.000)
Sn (0.766, 0.234, 0.000)
Sb (0.000, 0.000, 0.500)
Sb (0.252, 0.252, 0.572)
Sb (0.312, 0.312, 0.143)
Sb (0.688, 0.688, 0.857)
Sb (0.748, 0.748, 0.428)
Pd (0.099, 0.492, 0.857)
Pd (0.103, 0.103, 0.256)
Pd (0.188, 0.585, 0.433)
Pd (0.415, 0.812, 0.567)
Pd (0.472, 0.472, 0.751)
Pd (0.492, 0.099, 0.857)
Pd (0.508, 0.901, 0.143)
Pd (0.528, 0.528, 0.249)
Pd (0.585, 0.188, 0.433)
Pd (0.812, 0.415, 0.567)
Pd (0.897, 0.897, 0.744)
Pd (0.901, 0.508, 0.143)

One value per record, in order, for raw total energy: -5.2577 -5.2943 -5.3718 -4.8687 -5.0859 -5.3821 -5.1655 -5.1202 eV per atom.
One value per record, in order, for DOS(E_F): 2.28 3.05 2.62 54.92 4.64 2.43 5.72 8.65 states/eV per cell.